Density functional theory data (PBE-GGA) for a relaxed Ba3Mg2UO9 crystal.

Properties
D(E_F)	8.945	states/eV per cell
calculated volume	224	Å³/f.u.
raw total energy	-6.983	eV/atom

Unit cell a=5.9064 b=5.9064 c=7.4124 alpha=90.00 beta=90.00 gamma=120.00
Last column: nearest neighbours and their distance in Å.
Element x y z (fractional)
Ba1 0.0000 0.0000 0.0000  12 O 2.95-3.00
Ba2 0.3333 0.6667 0.6880  12 O 2.87-3.13
Ba3 0.6667 0.3333 0.3120  12 O 2.87-3.13
Mg1 0.3333 0.6667 0.1679  6 O 2.11-2.12
Mg2 0.6667 0.3333 0.8321  6 O 2.11-2.12
U1 0.0000 0.0000 0.5000  6 O 2.08
O1 0.0000 0.5000 0.0000  2 Mg 2.11
O2 0.1648 0.3296 0.3354  1 U 2.08, 1 Mg 2.12
O3 0.1648 0.8352 0.3354  1 U 2.08, 1 Mg 2.12
O4 0.3296 0.1648 0.6646  1 U 2.08, 1 Mg 2.12
O5 0.5000 0.0000 0.0000  2 Mg 2.11
O6 0.5000 0.5000 0.0000  2 Mg 2.11
O7 0.6704 0.8352 0.3354  1 U 2.08, 1 Mg 2.12
O8 0.8352 0.1648 0.6646  1 U 2.08, 1 Mg 2.12
O9 0.8352 0.6704 0.6646  1 U 2.08, 1 Mg 2.12

=====

Density functional theory data (PBE-GGA) for a relaxed Tb2Ho5Sc4 crystal.

Properties
D(E_F)	17.635	states/eV per cell
calculated volume	328	Å³/f.u.
raw total energy	-5.057	eV/atom
formation energy	1.846	eV per formula unit

Unit cell a=12.1285 b=12.1285 c=12.1285 alpha=163.95 beta=138.26 gamma=44.99
Last column: nearest neighbours and their distance in Å.
Element x y z (fractional)
Tb1 0.2307 0.2307 0.0000  1 Sc 3.06, 2 Ho 3.37, 2 Tb 3.39
Tb2 0.7693 0.7693 0.0000  1 Sc 3.06, 2 Ho 3.37, 2 Tb 3.39
Ho1 0.1595 0.3597 0.7998  3 Sc 3.26-3.31, 1 Tb 3.37, 3 Ho 3.39-3.46
Ho2 0.4401 0.6403 0.7998  3 Sc 3.26-3.31, 1 Tb 3.37, 3 Ho 3.39-3.46
Ho3 0.5000 0.0000 0.5000  4 Sc 3.25, 2 Ho 3.39
Ho4 0.5599 0.3597 0.2002  3 Sc 3.26-3.31, 1 Tb 3.37, 3 Ho 3.39-3.46
Ho5 0.8405 0.6403 0.2002  3 Sc 3.26-3.31, 1 Tb 3.37, 3 Ho 3.39-3.46
Sc1 0.0944 0.0944 0.0000  1 Tb 3.06, 6 Sc 3.12-3.39, 4 Ho 3.26
Sc2 0.1785 0.5000 0.6785  7 Sc 3.08-3.39, 4 Ho 3.25-3.31
Sc3 0.8215 0.5000 0.3215  7 Sc 3.08-3.39, 4 Ho 3.25-3.31
Sc4 0.9056 0.9056 0.0000  1 Tb 3.06, 6 Sc 3.12-3.39, 4 Ho 3.26

=====

Density functional theory data (PBE-GGA) for a relaxed PaInIrRh crystal.

Properties
D(E_F)	3.792	states/eV per cell
calculated volume	77	Å³/f.u.
raw total energy	-7.682	eV/atom
formation energy	-2.283	eV per formula unit

Unit cell a=4.7836 b=4.7836 c=4.7836 alpha=60.00 beta=60.00 gamma=60.00
Last column: nearest neighbours and their distance in Å.
Element x y z (fractional)
Pa1 0.0000 0.0000 0.0000  4 Rh 2.93, 4 Ir 2.93
In1 0.5000 0.5000 0.5000  4 Rh 2.93, 4 Ir 2.93
Ir1 0.2500 0.2500 0.2500  4 In 2.93, 4 Pa 2.93
Rh1 0.7500 0.7500 0.7500  4 In 2.93, 4 Pa 2.93

=====

Density functional theory data (PBE-GGA) for a relaxed Ce3Pa crystal.

Properties
D(E_F)	10.635	states/eV per cell
calculated volume	103	Å³/f.u.
raw total energy	-6.777	eV/atom
excess energy over the best structure of this formula in the dataset	0.026	eV per formula unit
formation energy	0.191	eV per formula unit

Unit cell a=4.6808 b=4.6808 c=4.6808 alpha=90.00 beta=90.00 gamma=90.00
Last column: nearest neighbours and their distance in Å.
Element x y z (fractional)
Ce1 0.0000 0.0000 0.5000  4 Pa 3.31, 8 Ce 3.31
Ce2 0.0000 0.5000 0.0000  4 Pa 3.31, 8 Ce 3.31
Ce3 0.5000 0.0000 0.0000  4 Pa 3.31, 8 Ce 3.31
Pa1 0.5000 0.5000 0.5000  12 Ce 3.31

=====

Density functional theory data (PBE-GGA) for a relaxed YMgSe2Br crystal.

Properties
D(E_F)	2.144	states/eV per cell
calculated volume	165	Å³/f.u.
raw total energy	-4.177	eV/atom
excess energy over the best structure of this formula in the dataset	0.445	eV per formula unit

Unit cell a=5.5129 b=5.5129 c=5.4133 alpha=90.00 beta=90.00 gamma=90.00
Last column: nearest neighbours and their distance in Å.
Element x y z (fractional)
Y1 0.0000 0.0000 0.0000  2 Br 2.71, 4 Se 2.76
Mg1 0.5000 0.5000 0.5000  8 Se 3.86, 4 Br 3.90
Se1 0.0000 0.5000 0.0000  2 Y 2.76
Se2 0.5000 0.0000 0.0000  2 Y 2.76
Br1 0.0000 0.0000 0.5000  2 Y 2.71

=====

Density functional theory data (PBE-GGA) for a relaxed LiDyPd5 crystal.

Properties
D(E_F)	4.863	states/eV per cell
calculated volume	118	Å³/f.u.
raw total energy	-5.107	eV/atom
formation energy	-3.268	eV per formula unit

Unit cell a=4.1684 b=4.1684 c=6.7939 alpha=90.00 beta=90.00 gamma=90.00
Last column: nearest neighbours and their distance in Å.
Element x y z (fractional)
Li1 0.0000 0.0000 0.0000  8 Pd 2.52
Dy1 0.5000 0.5000 0.5000  12 Pd 2.88-2.95
Pd1 0.0000 0.0000 0.5000  8 Pd 2.88, 4 Dy 2.95
Pd2 0.0000 0.5000 0.2084  2 Li 2.52
Pd3 0.0000 0.5000 0.7916  2 Li 2.52
Pd4 0.5000 0.0000 0.2084  2 Li 2.52
Pd5 0.5000 0.0000 0.7916  2 Li 2.52

=====

Density functional theory data (PBE-GGA) for a relaxed GdThMg crystal.

Properties
D(E_F)	4.035	states/eV per cell
calculated volume	89	Å³/f.u.
raw total energy	-7.583	eV/atom
excess energy over the best structure of this formula in the dataset	0.291	eV per formula unit
formation energy	0.345	eV per formula unit

Unit cell a=5.4852 b=5.4852 c=3.4032 alpha=90.00 beta=90.00 gamma=120.00
Last column: nearest neighbours and their distance in Å.
Element x y z (fractional)
Gd1 0.0000 0.0000 0.0000  3 Mg 3.22, 2 Gd 3.40, 3 Th 3.51
Th1 0.3333 0.6667 0.4433  2 Th 3.40, 6 Mg 3.42-3.81, 6 Gd 3.51-3.69
Mg1 0.6667 0.3333 0.8234  3 Gd 3.22, 2 Mg 3.40, 3 Th 3.42

=====

Density functional theory data (PBE-GGA) for a relaxed Al2CuHgI crystal.

Properties
D(E_F)	2.470	states/eV per cell
calculated volume	180	Å³/f.u.
raw total energy	-1.752	eV/atom

Unit cell a=6.0013 b=6.0013 c=4.9897 alpha=90.00 beta=90.00 gamma=90.00
Last column: nearest neighbours and their distance in Å.
Element x y z (fractional)
Al1 0.0000 0.5000 0.0000  2 I 3.00
Al2 0.5000 0.0000 0.0000  2 I 3.00
Cu1 0.0000 0.0000 0.5000  2 I 2.49
Hg1 0.5000 0.5000 0.5000  8 Al 3.90, 4 Cu 4.24
I1 0.0000 0.0000 0.0000  2 Cu 2.49

=====

Density functional theory data (PBE-GGA) for a relaxed Ba5Tl4 crystal.

Properties
D(E_F)	9.371	states/eV per cell
calculated volume	365	Å³/f.u.
raw total energy	-2.244	eV/atom
excess energy over the best structure of this formula in the dataset	1.858	eV per formula unit
formation energy	-1.121	eV per formula unit

Unit cell a=8.4547 b=8.4547 c=8.4547 alpha=96.73 beta=96.73 gamma=139.96
Last column: nearest neighbours and their distance in Å.
Element x y z (fractional)
Ba1 0.0000 0.0000 0.0000  4 Tl 3.95, 8 Ba 4.03
Ba2 0.3236 0.3236 0.6472  6 Tl 3.65-4.02, 6 Ba 3.72-4.03
Ba3 0.3236 0.6764 0.0000  6 Tl 3.65-4.02, 6 Ba 3.72-4.03
Ba4 0.6764 0.3236 0.0000  6 Tl 3.65-4.02, 6 Ba 3.72-4.03
Ba5 0.6764 0.6764 0.3528  6 Tl 3.65-4.02, 6 Ba 3.72-4.03
Tl1 0.0000 0.3518 0.3518  1 Tl 3.33, 2 Ba 3.65
Tl2 0.0000 0.6482 0.6482  1 Tl 3.33, 2 Ba 3.65
Tl3 0.3518 0.0000 0.3518  1 Tl 3.33, 2 Ba 3.65
Tl4 0.6482 0.0000 0.6482  1 Tl 3.33, 2 Ba 3.65

=====

Density functional theory data (PBE-GGA) for a relaxed NaWCl4 crystal.

Properties
D(E_F)	2.292	states/eV per cell
calculated volume	160	Å³/f.u.
raw total energy	-4.551	eV/atom

Unit cell a=3.4874 b=6.7414 c=7.1424 alpha=80.43 beta=89.97 gamma=75.24
Last column: nearest neighbours and their distance in Å.
Element x y z (fractional)
Na1 0.0000 0.0000 0.0000  6 Cl 2.73-2.96
W1 0.5000 0.0000 0.5000  6 Cl 2.43-2.48
Cl1 0.1118 0.7731 0.3961  2 W 2.48
Cl2 0.3943 0.2154 0.1867  1 W 2.43
Cl3 0.6057 0.7846 0.8133  1 W 2.43
Cl4 0.8882 0.2269 0.6039  2 W 2.48

=====

Density functional theory data (PBE-GGA) for a relaxed EuIn2Pb crystal.

Properties
D(E_F)	7.357	states/eV per cell
calculated volume	120	Å³/f.u.
raw total energy	-5.129	eV/atom
excess energy over the best structure of this formula in the dataset	0.478	eV per formula unit
formation energy	-1.057	eV per formula unit

Unit cell a=5.5389 b=5.5389 c=5.5389 alpha=60.00 beta=60.00 gamma=60.00
Last column: nearest neighbours and their distance in Å.
Element x y z (fractional)
Eu1 0.0000 0.0000 0.0000  8 In 3.39
In1 0.2500 0.2500 0.2500  4 Pb 3.39, 4 Eu 3.39
In2 0.7500 0.7500 0.7500  4 Pb 3.39, 4 Eu 3.39
Pb1 0.5000 0.5000 0.5000  8 In 3.39

=====

Density functional theory data (PBE-GGA) for a relaxed Cs2RbEuCl6 crystal.

Properties
D(E_F)	11.049	states/eV per cell
calculated volume	399	Å³/f.u.
raw total energy	-4.353	eV/atom

Unit cell a=8.2668 b=8.2668 c=8.2668 alpha=60.00 beta=60.00 gamma=60.00
Last column: nearest neighbours and their distance in Å.
Element x y z (fractional)
Cs1 0.2500 0.2500 0.2500  12 Cl 4.14
Cs2 0.7500 0.7500 0.7500  12 Cl 4.14
Rb1 0.0000 0.0000 0.0000  6 Cl 3.13
Eu1 0.5000 0.5000 0.5000  6 Cl 2.71
Cl1 0.2681 0.2681 0.7319  1 Eu 2.71
Cl2 0.2681 0.7319 0.2681  1 Eu 2.71
Cl3 0.2681 0.7319 0.7319  1 Eu 2.71
Cl4 0.7319 0.2681 0.2681  1 Eu 2.71
Cl5 0.7319 0.2681 0.7319  1 Eu 2.71
Cl6 0.7319 0.7319 0.2681  1 Eu 2.71